# 1
# PBE-GGA La2AlCo2, relaxed
data_La2AlCo2
_chemical_formula_sum 'La4 Al2 Co4'
_space_group_name_H-M_alt 'I 4/m m m'
_space_group_IT_number 139
_space_group_name_Hall '-I 4 2'
_cell_length_a 3.430
_cell_length_b 3.430
_cell_length_c 18.921
_cell_angle_alpha 90.00
_cell_angle_beta 90.00
_cell_angle_gamma 90.00
loop_
_atom_site_label
_atom_site_type_symbol
_atom_site_fract_x
_atom_site_fract_y
_atom_site_fract_z
La1 La 0.000 0.000 0.120
Al1 Al 0.000 0.000 0.500
Co1 Co 0.000 0.500 0.250
# ΔE_f = 0.02 eV per atom
# Mass density = 6.306 g cm⁻³
# V = 22.260 Å³/atom

=====

# 2
# PBE-GGA LaAl4Co, relaxed
data_LaAl4Co
_chemical_formula_sum 'La4 Al16 Co4'
_space_group_name_H-M_alt 'F -4 3 m'
_space_group_IT_number 216
_space_group_name_Hall 'F -4 2 3'
_cell_length_a 7.729
_cell_length_b 7.729
_cell_length_c 7.729
_cell_angle_alpha 90.00
_cell_angle_beta 90.00
_cell_angle_gamma 90.00
loop_
_atom_site_label
_atom_site_type_symbol
_atom_site_fract_x
_atom_site_fract_y
_atom_site_fract_z
La1 La 0.000 0.000 0.000
Al1 Al 0.125 0.125 0.625
Co1 Co 0.250 0.250 0.250
# ΔE_f = 0.04 eV per atom
# Mass density = 4.399 g cm⁻³
# V = 19.236 Å³/atom

=====

# 3
# PBE-GGA LaAl8Co2, relaxed
data_LaAl8Co2
_chemical_formula_sum 'La1 Al8 Co2'
_space_group_name_H-M_alt 'P 4/m m m'
_space_group_IT_number 123
_space_group_name_Hall '-P 4 2'
_cell_length_a 5.604
_cell_length_b 5.604
_cell_length_c 8.101
_cell_angle_alpha 90.00
_cell_angle_beta 90.00
_cell_angle_gamma 90.00
loop_
_atom_site_label
_atom_site_type_symbol
_atom_site_fract_x
_atom_site_fract_y
_atom_site_fract_z
La1 La 0.000 0.000 0.000
Al1 Al 0.249 0.249 0.332
Co1 Co 0.000 0.500 0.500
# ΔE_f = 0.05 eV per atom
# Mass density = 3.084 g cm⁻³
# V = 23.131 Å³/atom